a:
Crystalline DyErCd at its relaxed geometry. Source: Alexandria, functional PBE-GGA.

a = 27.8030 Å, b = 3.4725 Å, c = 3.5067 Å
α = 90.00°, β = 90.02°, γ = 90.00°
Atoms (fractional coordinates):
Dy (0.0000, 0.0000, 0.0000)
Dy (0.1511, 0.0000, 0.0001)
Dy (0.5000, 0.5000, 0.0000)
Dy (0.6511, 0.5000, 0.0001)
Er (0.3036, 0.0000, 0.0016)
Er (0.3916, 0.5000, 0.5014)
Er (0.8036, 0.5000, 0.0016)
Er (0.8916, 0.0000, 0.5014)
Cd (0.0753, 0.5000, 0.4997)
Cd (0.2277, 0.5000, 0.5010)
Cd (0.5753, 0.0000, 0.4997)
Cd (0.7277, 0.0000, 0.5010)

Space group: Cm

b:
Crystalline DyErCd at its relaxed geometry. Source: Alexandria, functional PBE-GGA.

a = 5.2308 Å, b = 5.2308 Å, c = 3.5315 Å
α = 90.00°, β = 90.00°, γ = 120.00°
Atoms (fractional coordinates):
Dy (0.0000, 0.0000, 0.0000)
Er (0.6667, 0.3333, 0.4444)
Cd (0.3333, 0.6667, 0.7042)

Space group: P3m1

c:
Crystalline DyErCd at its relaxed geometry. Source: Alexandria, functional PBE-GGA.

a = 3.5785 Å, b = 3.5785 Å, c = 13.0413 Å
α = 90.00°, β = 90.00°, γ = 90.00°
Atoms (fractional coordinates):
Dy (0.0000, 0.0000, 0.0000)
Dy (0.5000, 0.5000, 0.5000)
Er (0.0000, 0.0000, 0.3137)
Er (0.5000, 0.5000, 0.8137)
Cd (0.0000, 0.0000, 0.6588)
Cd (0.5000, 0.5000, 0.1588)

Space group: I4mm

Of them, the most stable is c and the least stable is b.

a:
Crystalline Dy3Er2Cd at its relaxed geometry. Source: Alexandria, functional PBE-GGA.

a = 3.5420 Å, b = 3.5420 Å, c = 14.1024 Å
α = 90.00°, β = 90.00°, γ = 90.00°
Atoms (fractional coordinates):
Dy (0.0000, 0.0000, 0.0000)
Dy (0.0000, 0.0000, 0.3513)
Dy (0.0000, 0.0000, 0.6487)
Er (0.5000, 0.5000, 0.1757)
Er (0.5000, 0.5000, 0.8243)
Cd (0.5000, 0.5000, 0.5000)

Space group: P4/mmm

b:
Crystalline Dy3Er2Cd at its relaxed geometry. Source: Alexandria, functional PBE-GGA.

a = 3.3228 Å, b = 9.8510 Å, c = 11.5379 Å
α = 90.00°, β = 90.00°, γ = 90.00°
Atoms (fractional coordinates):
Dy (0.0000, 0.0000, 0.0000)
Dy (0.0000, 0.3381, 0.0320)
Dy (0.0000, 0.6619, 0.0320)
Dy (0.5000, 0.1619, 0.5320)
Dy (0.5000, 0.5000, 0.5000)
Dy (0.5000, 0.8381, 0.5320)
Er (0.0000, 0.1726, 0.2833)
Er (0.0000, 0.8274, 0.2833)
Er (0.5000, 0.3274, 0.7833)
Er (0.5000, 0.6726, 0.7833)
Cd (0.0000, 0.5000, 0.2668)
Cd (0.5000, 0.0000, 0.7668)

Space group: Imm2

Of them, the most stable is a and the least stable is b.

a:
Crystalline PrDyErCd at its relaxed geometry. Source: Alexandria, functional PBE-GGA.

a = 7.7853 Å, b = 7.7853 Å, c = 7.7853 Å
α = 90.00°, β = 90.00°, γ = 90.00°
Atoms (fractional coordinates):
Pr (0.0000, 0.0000, 0.0000)
Pr (0.0000, 0.5000, 0.5000)
Pr (0.5000, 0.0000, 0.5000)
Pr (0.5000, 0.5000, 0.0000)
Dy (0.0000, 0.0000, 0.5000)
Dy (0.0000, 0.5000, 0.0000)
Dy (0.5000, 0.0000, 0.0000)
Dy (0.5000, 0.5000, 0.5000)
Er (0.2500, 0.2500, 0.7500)
Er (0.2500, 0.7500, 0.2500)
Er (0.7500, 0.2500, 0.2500)
Er (0.7500, 0.7500, 0.7500)
Cd (0.2500, 0.2500, 0.2500)
Cd (0.2500, 0.7500, 0.7500)
Cd (0.7500, 0.2500, 0.7500)
Cd (0.7500, 0.7500, 0.2500)

Space group: F-43m

b:
Crystalline PrDyErCd at its relaxed geometry. Source: Alexandria, functional PBE-GGA.

a = 3.6535 Å, b = 3.6535 Å, c = 8.9441 Å
α = 90.00°, β = 90.00°, γ = 90.00°
Atoms (fractional coordinates):
Pr (0.0000, 0.0000, 0.0000)
Dy (0.5000, 0.5000, 0.7163)
Er (0.5000, 0.5000, 0.2813)
Cd (0.0000, 0.0000, 0.4957)

Space group: P4mm

Of them, the most stable is b and the least stable is a.

a:
Crystalline DyErScCd at its relaxed geometry. Source: Alexandria, functional PBE-GGA.

a = 7.5184 Å, b = 7.5184 Å, c = 7.5184 Å
α = 90.00°, β = 90.00°, γ = 90.00°
Atoms (fractional coordinates):
Dy (0.0000, 0.0000, 0.0000)
Dy (0.0000, 0.5000, 0.5000)
Dy (0.5000, 0.0000, 0.5000)
Dy (0.5000, 0.5000, 0.0000)
Er (0.0000, 0.0000, 0.5000)
Er (0.0000, 0.5000, 0.0000)
Er (0.5000, 0.0000, 0.0000)
Er (0.5000, 0.5000, 0.5000)
Sc (0.2500, 0.2500, 0.7500)
Sc (0.2500, 0.7500, 0.2500)
Sc (0.7500, 0.2500, 0.2500)
Sc (0.7500, 0.7500, 0.7500)
Cd (0.2500, 0.2500, 0.2500)
Cd (0.2500, 0.7500, 0.7500)
Cd (0.7500, 0.2500, 0.7500)
Cd (0.7500, 0.7500, 0.2500)

Space group: F-43m

b:
Crystalline DyErScCd at its relaxed geometry. Source: Alexandria, functional PBE-GGA.

a = 3.5419 Å, b = 3.5419 Å, c = 8.6093 Å
α = 90.00°, β = 90.00°, γ = 90.00°
Atoms (fractional coordinates):
Dy (0.0000, 0.0000, 0.0000)
Er (0.0000, 0.0000, 0.5156)
Sc (0.5000, 0.5000, 0.2592)
Cd (0.5000, 0.5000, 0.7551)

Space group: P4mm

Of them, the most stable is b and the least stable is a.

a:
Crystalline DyErThCd at its relaxed geometry. Source: Alexandria, functional PBE-GGA.

a = 7.7233 Å, b = 7.7233 Å, c = 7.7233 Å
α = 90.00°, β = 90.00°, γ = 90.00°
Atoms (fractional coordinates):
Dy (0.0000, 0.0000, 0.0000)
Dy (0.0000, 0.5000, 0.5000)
Dy (0.5000, 0.0000, 0.5000)
Dy (0.5000, 0.5000, 0.0000)
Er (0.0000, 0.0000, 0.5000)
Er (0.0000, 0.5000, 0.0000)
Er (0.5000, 0.0000, 0.0000)
Er (0.5000, 0.5000, 0.5000)
Th (0.2500, 0.2500, 0.2500)
Th (0.2500, 0.7500, 0.7500)
Th (0.7500, 0.2500, 0.7500)
Th (0.7500, 0.7500, 0.2500)
Cd (0.2500, 0.2500, 0.7500)
Cd (0.2500, 0.7500, 0.2500)
Cd (0.7500, 0.2500, 0.2500)
Cd (0.7500, 0.7500, 0.7500)

Space group: F-43m

b:
Crystalline DyErThCd at its relaxed geometry. Source: Alexandria, functional PBE-GGA.

a = 3.6028 Å, b = 3.6028 Å, c = 8.8129 Å
α = 90.00°, β = 90.00°, γ = 90.00°
Atoms (fractional coordinates):
Dy (0.0000, 0.0000, 0.0000)
Er (0.0000, 0.0000, 0.5402)
Th (0.5000, 0.5000, 0.2715)
Cd (0.5000, 0.5000, 0.7671)

Space group: P4mm

Of them, the most stable is b and the least stable is a.

a:
Crystalline DyErTmCd at its relaxed geometry. Source: Alexandria, functional PBE-GGA.

a = 7.6356 Å, b = 7.6356 Å, c = 7.6356 Å
α = 90.00°, β = 90.00°, γ = 90.00°
Atoms (fractional coordinates):
Dy (0.0000, 0.0000, 0.0000)
Dy (0.0000, 0.5000, 0.5000)
Dy (0.5000, 0.0000, 0.5000)
Dy (0.5000, 0.5000, 0.0000)
Er (0.0000, 0.0000, 0.5000)
Er (0.0000, 0.5000, 0.0000)
Er (0.5000, 0.0000, 0.0000)
Er (0.5000, 0.5000, 0.5000)
Tm (0.2500, 0.2500, 0.7500)
Tm (0.2500, 0.7500, 0.2500)
Tm (0.7500, 0.2500, 0.2500)
Tm (0.7500, 0.7500, 0.7500)
Cd (0.2500, 0.2500, 0.2500)
Cd (0.2500, 0.7500, 0.7500)
Cd (0.7500, 0.2500, 0.7500)
Cd (0.7500, 0.7500, 0.2500)

Space group: F-43m

b:
Crystalline DyErTmCd at its relaxed geometry. Source: Alexandria, functional PBE-GGA.

a = 3.5476 Å, b = 3.5476 Å, c = 9.0194 Å
α = 90.00°, β = 90.00°, γ = 90.00°
Atoms (fractional coordinates):
Dy (0.0000, 0.0000, 0.0000)
Er (0.0000, 0.0000, 0.5387)
Tm (0.5000, 0.5000, 0.2704)
Cd (0.5000, 0.5000, 0.7667)

Space group: P4mm

Of them, the most stable is b and the least stable is a.

a:
Crystalline DyYErCd at its relaxed geometry. Source: Alexandria, functional PBE-GGA.

a = 3.5783 Å, b = 3.5783 Å, c = 9.0360 Å
α = 90.00°, β = 90.00°, γ = 90.00°
Atoms (fractional coordinates):
Dy (0.0000, 0.0000, 0.0000)
Y (0.0000, 0.0000, 0.4578)
Er (0.5000, 0.5000, 0.7309)
Cd (0.5000, 0.5000, 0.2286)

Space group: P4mm

b:
Crystalline DyYErCd at its relaxed geometry. Source: Alexandria, functional PBE-GGA.

a = 7.6818 Å, b = 7.6818 Å, c = 7.6818 Å
α = 90.00°, β = 90.00°, γ = 90.00°
Atoms (fractional coordinates):
Dy (0.0000, 0.0000, 0.0000)
Dy (0.0000, 0.5000, 0.5000)
Dy (0.5000, 0.0000, 0.5000)
Dy (0.5000, 0.5000, 0.0000)
Y (0.0000, 0.0000, 0.5000)
Y (0.0000, 0.5000, 0.0000)
Y (0.5000, 0.0000, 0.0000)
Y (0.5000, 0.5000, 0.5000)
Er (0.2500, 0.2500, 0.2500)
Er (0.2500, 0.7500, 0.7500)
Er (0.7500, 0.2500, 0.7500)
Er (0.7500, 0.7500, 0.2500)
Cd (0.2500, 0.2500, 0.7500)
Cd (0.2500, 0.7500, 0.2500)
Cd (0.7500, 0.2500, 0.2500)
Cd (0.7500, 0.7500, 0.7500)

Space group: F-43m

Of them, the most stable is a and the least stable is b.

a:
Crystalline DyErZnCd at its relaxed geometry. Source: Alexandria, functional PBE-GGA.

a = 7.2970 Å, b = 7.2970 Å, c = 7.2970 Å
α = 90.00°, β = 90.00°, γ = 90.00°
Atoms (fractional coordinates):
Dy (0.0000, 0.0000, 0.0000)
Dy (0.0000, 0.5000, 0.5000)
Dy (0.5000, 0.0000, 0.5000)
Dy (0.5000, 0.5000, 0.0000)
Er (0.0000, 0.0000, 0.5000)
Er (0.0000, 0.5000, 0.0000)
Er (0.5000, 0.0000, 0.0000)
Er (0.5000, 0.5000, 0.5000)
Zn (0.2500, 0.2500, 0.7500)
Zn (0.2500, 0.7500, 0.2500)
Zn (0.7500, 0.2500, 0.2500)
Zn (0.7500, 0.7500, 0.7500)
Cd (0.2500, 0.2500, 0.2500)
Cd (0.2500, 0.7500, 0.7500)
Cd (0.7500, 0.2500, 0.7500)
Cd (0.7500, 0.7500, 0.2500)

Space group: F-43m

b:
Crystalline DyErZnCd at its relaxed geometry. Source: Alexandria, functional PBE-GGA.

a = 3.5766 Å, b = 3.5766 Å, c = 7.5353 Å
α = 90.00°, β = 90.00°, γ = 90.00°
Atoms (fractional coordinates):
Dy (0.0000, 0.0000, 0.0000)
Er (0.0000, 0.0000, 0.4605)
Zn (0.5000, 0.5000, 0.2348)
Cd (0.5000, 0.5000, 0.7264)

Space group: P4mm

Of them, the most stable is b and the least stable is a.